Ac6Pm5Pr after structural relaxation. Source: Alexandria, functional PBE.

Cell and atoms, written as CIF:
```
data_Ac6Pm5Pr
_chemical_formula_sum 'Ac12 Pm10 Pr2'
_symmetry_space_group_name_H-M 'I m m m'
_symmetry_Int_Tables_number 71
_symmetry_space_group_name_Hall '-I 2 2'
_cell_length_a 5.492
_cell_length_b 10.529
_cell_length_c 16.383
_cell_angle_alpha 90.00
_cell_angle_beta 90.00
_cell_angle_gamma 90.00
loop_
_atom_site_label
_atom_site_fract_x
_atom_site_fract_y
_atom_site_fract_z
_atom_site_occupancy
Ac1 0.000 0.249 0.000 1
Ac2 0.000 0.251 0.333 1
Pm1 0.000 0.000 0.167 1
Pm2 0.000 0.500 0.167 1
Pm3 0.000 0.500 0.500 1
Pr1 0.000 0.000 0.500 1
```

- N(E_F): 36.5 states/eV per cell
- Calculated formation energy: 0.03 eV/atom